Entry 1
Material: LiCaNiF6
Method: DFT, PBE+U
State: relaxed

```
LiCaNiF6
1.0
5.1511 0.0000 0.0000
-2.5756 4.4610 0.0000
0.0000 0.0000 9.8140
Li Ca Ni F
2 2 2 12
Direct
0.3333 0.6667 0.2500
0.6667 0.3333 0.7500
0.0000 0.0000 0.0000
0.0000 0.0000 0.5000
0.3333 0.6667 0.7500
0.6667 0.3333 0.2500
0.0188 0.3662 0.6403
0.0188 0.6526 0.8597
0.3474 0.3662 0.8597
0.3474 0.9812 0.6403
0.3662 0.0188 0.1403
0.3662 0.3474 0.3597
0.6338 0.6526 0.6403
0.6338 0.9812 0.8597
0.6526 0.0188 0.3597
0.6526 0.6338 0.1403
0.9812 0.3474 0.1403
0.9812 0.6338 0.3597
```

The crystal system is trigonal. The value obtained for the magnetic moment is 3.1 μB/f.u.


Entry 2
Material: LiCaNiF6
Method: DFT, PBE+U
State: relaxed

```
LiCaNiF6
1.0
4.8836 0.0000 0.0000
0.0000 4.8836 0.0000
0.0000 0.0000 9.6167
Li Ca Ni F
2 2 2 12
Direct
0.0000 0.0000 0.0000
0.5000 0.5000 0.5000
0.0000 0.0000 0.6634
0.5000 0.5000 0.1634
0.0000 0.0000 0.3288
0.5000 0.5000 0.8288
0.1780 0.1780 0.1736
0.1962 0.1962 0.4729
0.2243 0.2243 0.8359
0.2757 0.7243 0.3359
0.3038 0.6962 0.9729
0.3220 0.6780 0.6736
0.6780 0.3220 0.6736
0.6962 0.3038 0.9729
0.7243 0.2757 0.3359
0.7757 0.7757 0.8359
0.8038 0.8038 0.4729
0.8220 0.8220 0.1736
```

The crystal system is tetragonal. The value obtained for the magnetic moment is 3.1 μB/f.u.


Among the structures above, stability is smallest for entry 2.